1.
Y2CoBr | meta-GGA SCAN | PBEsol geometry

Lattice parameters (Å, degrees): 3.279 5.029 5.029 92.56 94.50 94.50
Fractional coordinates of all 4 atoms:
Br 0.500 0.000 0.000
Y 0.000 0.500 0.000
Y 0.000 0.000 0.500
Co 0.500 0.500 0.500

ΔE_f (raw)   -0.3303 eV per atom
SG   C2/m
Crystal system   monoclinic
Excess energy over the best structure of this formula in the dataset   0.425 eV/atom

2.
Y2CoBr | meta-GGA SCAN | PBEsol geometry

Lattice parameters (Å, degrees): 3.932 3.932 5.651 90.00 90.00 90.00
Fractional coordinates of all 4 atoms:
Y 0.000 0.000 0.875
Y 0.500 0.500 0.374
Br 0.000 0.000 0.375
Co 0.500 0.500 0.875

ΔE_f (raw)   -0.4331 eV per atom
SG   P4mm
Crystal system   tetragonal
Excess energy over the best structure of this formula in the dataset   0.322 eV/atom

3.
Y2CoBr | meta-GGA SCAN | PBEsol geometry

Lattice parameters (Å, degrees): 3.795 3.795 7.755 75.84 75.84 60.00
Fractional coordinates of all 4 atoms:
Br 0.500 0.500 0.500
Y 0.269 0.269 0.193
Y 0.731 0.731 0.807
Co 0.000 0.000 0.000

ΔE_f (raw)   -0.7552 eV per atom
SG   R-3m
Crystal system   trigonal
Excess energy over the best structure of this formula in the dataset   0.000 eV/atom

4.
ZnCoBr | meta-GGA SCAN | PBEsol geometry

Lattice parameters (Å, degrees): 3.285 3.285 5.597 90.00 90.00 120.00
Fractional coordinates of all 3 atoms:
Co 0.333 0.667 0.672
Zn 0.667 0.333 0.387
Br 0.000 0.000 0.941

ΔE_f (raw)   0.0903 eV per atom
SG   P3m1
Crystal system   trigonal

5.
ZnCoBr2 | meta-GGA SCAN | PBEsol geometry

Lattice parameters (Å, degrees): 6.406 6.406 6.406 136.74 97.81 97.81
Fractional coordinates of all 8 atoms:
Br 0.648 0.375 0.523
Br 0.148 0.273 0.625
Br 0.352 0.875 0.727
Br 0.852 0.477 0.125
Co 0.000 0.500 0.500
Co 0.500 0.250 0.750
Zn 0.000 0.000 0.000
Zn 0.500 0.750 0.250

ΔE_f (raw)   -0.0260 eV per atom
SG   I-42d
Crystal system   tetragonal
Excess energy over the best structure of this formula in the dataset   0.003 eV/atom

6.
ZnCoBr2 | meta-GGA SCAN | PBEsol geometry

Lattice parameters (Å, degrees): 3.357 4.679 6.656 69.56 75.39 68.97
Fractional coordinates of all 4 atoms:
Br 0.860 0.633 0.647
Br 0.017 0.863 0.103
Zn 0.176 0.273 0.375
Co 0.447 0.731 0.375

ΔE_f (raw)   -0.0294 eV per atom
SG   Cm
Crystal system   monoclinic
Excess energy over the best structure of this formula in the dataset   0.000 eV/atom

7.
ZnCoBr2 | meta-GGA SCAN | PBEsol geometry

Lattice parameters (Å, degrees): 4.675 4.675 4.675 60.00 60.00 60.00
Fractional coordinates of all 4 atoms:
Zn 0.000 0.000 0.000
Br 0.750 0.750 0.750
Br 0.250 0.250 0.250
Co 0.500 0.500 0.500

ΔE_f (raw)   0.4280 eV per atom
SG   Fm-3m
Crystal system   cubic
Excess energy over the best structure of this formula in the dataset   0.457 eV/atom

8.
ZrCoBr2 | meta-GGA SCAN | PBEsol geometry

Lattice parameters (Å, degrees): 3.317 3.317 6.249 90.00 90.00 90.00
Fractional coordinates of all 4 atoms:
Br 0.000 0.000 0.751
Br 0.000 0.000 0.249
Zr 0.500 0.500 0.500
Co 0.500 0.500 0.000

ΔE_f (raw)   0.0748 eV per atom
SG   P4/mmm
Crystal system   tetragonal
Excess energy over the best structure of this formula in the dataset   0.426 eV/atom

9.
ZrCo2Br | meta-GGA SCAN | PBEsol geometry

Lattice parameters (Å, degrees): 3.304 3.392 5.994 90.00 90.14 90.00
Fractional coordinates of all 4 atoms:
Co 0.999 0.000 0.306
Co 0.001 0.000 0.694
Br 0.000 0.500 0.000
Zr 0.500 0.500 0.500

ΔE_f (raw)   0.0694 eV per atom
SG   P2/m
Crystal system   monoclinic
Excess energy over the best structure of this formula in the dataset   0.000 eV/atom

10.
ZrCoBr2 | meta-GGA SCAN | PBEsol geometry

Lattice parameters (Å, degrees): 3.357 5.014 5.816 89.70 106.77 90.00
Fractional coordinates of all 4 atoms:
Zr 0.264 0.122 0.529
Br 0.658 0.764 0.315
Br 0.945 0.325 0.890
Co 0.633 0.289 0.266

ΔE_f (raw)   -0.3515 eV per atom
SG   Cm
Crystal system   monoclinic
Excess energy over the best structure of this formula in the dataset   0.000 eV/atom

11.
ZrCo2Br | meta-GGA SCAN | PBEsol geometry

Lattice parameters (Å, degrees): 4.359 4.359 4.359 60.00 60.00 60.00
Fractional coordinates of all 4 atoms:
Zr 0.500 0.500 0.500
Co 0.250 0.250 0.250
Co 0.750 0.750 0.750
Br 0.000 0.000 0.000

ΔE_f (raw)   0.7515 eV per atom
SG   Fm-3m
Crystal system   cubic
Excess energy over the best structure of this formula in the dataset   0.682 eV/atom

12.
ZrCoBr2 | meta-GGA SCAN | PBEsol geometry

Lattice parameters (Å, degrees): 3.385 5.304 5.308 119.16 107.42 92.22
Fractional coordinates of all 4 atoms:
Br 0.000 0.000 0.500
Br 0.500 0.500 0.500
Zr 0.500 0.500 0.000
Co 0.000 0.000 0.000

ΔE_f (raw)   -0.0272 eV per atom
SG   C2/m
Crystal system   monoclinic
Excess energy over the best structure of this formula in the dataset   0.324 eV/atom